Below is a relaxed Ge4Se5 crystal, with properties calculated at the GGA-PBE level.

Unit cell a=8.728 b=8.728 c=5.493 alpha=90.00 beta=90.00 gamma=90.00
Space group I4/m (No. 87)
Unique sites:
Ge: 0.081 0.702 0.000
Se: 0.000 0.000 0.000
Se: 0.100 0.699 0.500

Calculated values
Uncorrected formation energy ... -0.165 eV per atom


Below is a relaxed CdGaS2N crystal, with properties calculated at the GGA-PBE level.

Unit cell a=4.936 b=4.936 c=3.773 alpha=90.00 beta=90.00 gamma=90.00
Space group P4/mmm (No. 123)
Unique sites:
Cd: 0.000 0.000 0.000
Ga: 0.500 0.500 0.500
S: 0.000 0.500 0.500
N: 0.500 0.500 0.000

Calculated values
Uncorrected formation energy ... 0.527 eV per atom
ΔE to the lowest computed polymorph ... 0 meV/atom


Below is a relaxed CrInRh3 crystal, with properties calculated at the GGA-PBE level.

Unit cell a=4.489 b=4.489 c=4.489 alpha=90.00 beta=90.00 gamma=90.00
Space group Pm-3m (No. 221)
Unique sites:
Cr: 0.000 0.000 0.000
In: 0.500 0.500 0.500
Rh: 0.000 0.000 0.500

Calculated values
ΔE to the lowest computed polymorph ... 0 meV/atom


Below is a relaxed LaDy2Au crystal, with properties calculated at the GGA-PBE level.

Unit cell a=3.7710 b=3.7710 c=30.1447 alpha=90.00 beta=90.00 gamma=120.00
Space group R-3m (No. 166, hexagonal axes)
Unique sites:
La: 0.0000 0.0000 0.0000
Dy: 0.0000 0.0000 0.2332
Au: 0.0000 0.0000 0.5000

Calculated values
ΔE to the lowest computed polymorph ... 143 meV/atom


Below is a relaxed Ni2GeHRh crystal, with properties calculated at the GGA-PBE level.

Unit cell a=3.586 b=3.586 c=4.116 alpha=90.00 beta=90.00 gamma=90.00
Space group P4/mmm (No. 123)
Unique sites:
Ni: 0.000 0.500 0.000
Ge: 0.000 0.000 0.500
H: 0.000 0.000 0.000
Rh: 0.500 0.500 0.500

Calculated values
ΔE to the lowest computed polymorph ... 192 meV/atom


Below is a relaxed CoAuSe2 crystal, with properties calculated at the GGA-PBE level.

Unit cell a=2.888 b=2.888 c=9.038 alpha=90.00 beta=90.00 gamma=90.00
Space group P4mm (No. 99)
Unique sites:
Co: 0.000 0.000 0.000
Au: 0.500 0.500 0.780
Se: 0.000 0.000 0.522
Se: 0.500 0.500 0.135

Calculated values
Uncorrected formation energy ... 0.118 eV per atom


Below is a relaxed PmAl4 crystal, with properties calculated at the GGA-PBE level.

Unit cell a=5.627 b=5.627 c=5.627 alpha=90.00 beta=90.00 gamma=90.00
Space group Pm-3m (No. 221)
Unique sites:
Pm: 0.000 0.000 0.000
Al: 0.000 0.000 0.500
Al: 0.500 0.500 0.500

Calculated values
ΔE to the lowest computed polymorph ... 1604 meV/atom


Below is a relaxed NpUFeOs crystal, with properties calculated at the GGA-PBE level.

Unit cell a=6.423 b=6.423 c=6.423 alpha=90.00 beta=90.00 gamma=90.00
Space group F-43m (No. 216)
Unique sites:
Np: 0.000 0.000 0.000
U: 0.250 0.250 0.750
Fe: 0.250 0.250 0.250
Os: 0.000 0.000 0.500

Calculated values
E_tot ... -11.079 eV/atom


Below is a relaxed CdSnBi crystal, with properties calculated at the GGA-PBE level.

Unit cell a=9.630 b=6.036 c=6.036 alpha=90.00 beta=90.00 gamma=90.00
Space group Aem2 (No. 39)
Unique sites:
Cd: 0.054 0.250 0.000
Sn: 0.257 0.250 0.498
Bi: 0.370 0.250 0.998

Calculated values
E_tot ... -2.866 eV/atom


Below is a relaxed Ac3La2Pb3 crystal, with properties calculated at the GGA-PBE level.

Unit cell a=9.8638 b=9.8638 c=7.1440 alpha=90.00 beta=90.00 gamma=120.00
Space group P6_3/mcm (No. 193)
Unique sites:
Ac: 0.0000 0.2439 0.2500
La: 0.3333 0.6667 0.0000
Pb: 0.0000 0.3982 0.7500

Calculated values
ΔE to the lowest computed polymorph ... 0 meV/atom


Below is a relaxed HoSnPd crystal, with properties calculated at the GGA-PBE level.

Unit cell a=4.6829 b=4.6829 c=3.5002 alpha=90.00 beta=90.00 gamma=120.00
Space group P-6m2 (No. 187)
Unique sites:
Ho: 0.0000 0.0000 0.0000
Sn: 0.3333 0.6667 0.5000
Pd: 0.6667 0.3333 0.5000

Calculated values
E_tot ... -5.458 eV/atom


Below is a relaxed AlAgRh crystal, with properties calculated at the GGA-PBE level.

Unit cell a=4.2537 b=4.2537 c=2.9575 alpha=90.00 beta=90.00 gamma=120.00
Space group P3m1 (No. 156)
Unique sites:
Al: 0.0000 0.0000 0.0000
Ag: 0.3333 0.6667 0.6929
Rh: 0.6667 0.3333 0.2338

Calculated values
ΔE to the lowest computed polymorph ... 130 meV/atom